# Pa3Co5O12

A relaxed Pa3Co5O12 crystal (GGA+U, the Alexandria database).

Output
N(E_F) ... 5.00 states/eV/f.u.
E ... -634.430 eV for the cell shown
Symmetry ... Ia-3d

Cell: 10.8585 10.8585 10.8585 Å, 109.47 109.47 109.47°
Last column: nearest neighbours and their distance in Å.
Fractional coordinates of all 80 atoms:
O: 0.0864 0.9109 0.3674  2 Co 1.95-2.11
O: 0.5435 0.3245 0.9109  2 Co 1.95-2.11
O: 0.1755 0.0891 0.9565  2 Co 1.95-2.11
O: 0.1755 0.0864 0.7190  2 Co 1.95-2.11
O: 0.3674 0.4109 0.0864  2 Co 1.95-2.11
O: 0.1326 0.7190 0.5435  2 Co 1.95-2.11
O: 0.2190 0.5435 0.6326  2 Co 1.95-2.11
O: 0.5864 0.8674 0.4109  2 Co 1.95-2.11
O: 0.2810 0.4136 0.8245  2 Co 1.95-2.11
O: 0.5891 0.6326 0.4136  2 Co 1.95-2.11
O: 0.2190 0.6755 0.0864  2 Co 1.95-2.11
O: 0.4565 0.6755 0.0891  2 Co 1.95-2.11
O: 0.5435 0.2190 0.1326  2 Co 1.95-2.11
O: 0.8245 0.9136 0.2810  2 Co 1.95-2.11
O: 0.0435 0.6326 0.7190  2 Co 1.95-2.11
O: 0.0435 0.4109 0.8245  2 Co 1.95-2.11
O: 0.4109 0.0435 0.3245  2 Co 1.95-2.11
O: 0.9565 0.3674 0.2810  2 Co 1.95-2.11
O: 0.3245 0.5435 0.4109  2 Co 1.95-2.11
O: 0.8674 0.2810 0.4565  2 Co 1.95-2.11
O: 0.0891 0.1755 0.4565  2 Co 1.95-2.11
O: 0.9565 0.5891 0.1755  2 Co 1.95-2.11
O: 0.3674 0.9565 0.7810  2 Co 1.95-2.11
O: 0.7190 0.1326 0.0435  2 Co 1.95-2.11
O: 0.6755 0.2190 0.5864  2 Co 1.95-2.11
O: 0.9109 0.0864 0.8674  2 Co 1.95-2.11
O: 0.1326 0.4136 0.0891  2 Co 1.95-2.11
O: 0.4565 0.7810 0.8674  2 Co 1.95-2.11
O: 0.4136 0.2810 0.3245  2 Co 1.95-2.11
O: 0.5864 0.7190 0.6755  2 Co 1.95-2.11
O: 0.0864 0.1755 0.2190  2 Co 1.95-2.11
O: 0.8674 0.5864 0.9109  2 Co 1.95-2.11
O: 0.9109 0.8245 0.5435  2 Co 1.95-2.11
O: 0.6326 0.5891 0.9136  2 Co 1.95-2.11
O: 0.3245 0.7810 0.4136  2 Co 1.95-2.11
O: 0.9136 0.8245 0.7810  2 Co 1.95-2.11
O: 0.7810 0.4565 0.3674  2 Co 1.95-2.11
O: 0.5891 0.9565 0.6755  2 Co 1.95-2.11
O: 0.0891 0.9136 0.1326  2 Co 1.95-2.11
O: 0.4109 0.3674 0.5864  2 Co 1.95-2.11
O: 0.6326 0.0435 0.2190  2 Co 1.95-2.11
O: 0.8245 0.9109 0.0435  2 Co 1.95-2.11
O: 0.2810 0.8674 0.9565  2 Co 1.95-2.11
O: 0.7810 0.3245 0.9136  2 Co 1.95-2.11
O: 0.7190 0.5864 0.1755  2 Co 1.95-2.11
O: 0.9136 0.0891 0.6326  2 Co 1.95-2.11
O: 0.6755 0.4565 0.5891  2 Co 1.95-2.11
O: 0.4136 0.1326 0.5891  2 Co 1.95-2.11
Co: 0.7500 0.6250 0.3750  4 O 1.95
Co: 0.0000 0.0000 0.0000  6 O 2.11
Co: 0.0000 0.0000 0.5000  6 O 2.11
Co: 0.3750 0.2500 0.1250  4 O 1.95
Co: 0.2500 0.3750 0.6250  4 O 1.95
Co: 0.0000 0.5000 0.5000  6 O 2.11
Co: 0.6250 0.8750 0.2500  4 O 1.95
Co: 0.5000 0.5000 0.5000  6 O 2.11
Co: 0.8750 0.6250 0.7500  4 O 1.95
Co: 0.5000 0.0000 0.0000  6 O 2.11
Co: 0.6250 0.7500 0.8750  4 O 1.95
Co: 0.1250 0.7500 0.3750  4 O 1.95
Co: 0.5000 0.0000 0.5000  6 O 2.11
Co: 0.0000 0.5000 0.0000  6 O 2.11
Co: 0.1250 0.3750 0.2500  4 O 1.95
Co: 0.8750 0.2500 0.6250  4 O 1.95
Co: 0.5000 0.5000 0.0000  6 O 2.11
Co: 0.7500 0.1250 0.8750  4 O 1.95
Co: 0.3750 0.1250 0.7500  4 O 1.95
Co: 0.2500 0.8750 0.1250  4 O 1.95
Pa: 0.1250 0.8750 0.7500  8 O 2.34-2.36
Pa: 0.8750 0.1250 0.2500  8 O 2.34-2.36
Pa: 0.6250 0.2500 0.3750  8 O 2.34-2.36
Pa: 0.2500 0.1250 0.3750  8 O 2.34-2.36
Pa: 0.7500 0.8750 0.6250  8 O 2.34-2.36
Pa: 0.1250 0.2500 0.8750  8 O 2.34-2.36
Pa: 0.3750 0.6250 0.2500  8 O 2.34-2.36
Pa: 0.7500 0.3750 0.1250  8 O 2.34-2.36
Pa: 0.8750 0.7500 0.1250  8 O 2.34-2.36
Pa: 0.2500 0.6250 0.8750  8 O 2.34-2.36
Pa: 0.3750 0.7500 0.6250  8 O 2.34-2.36
Pa: 0.6250 0.3750 0.7500  8 O 2.34-2.36